Below is an optimized crystal structure of Be2CuTe, with properties calculated at the PBE level.

Structure (POSCAR):
```
Be2CuTe
1.0
3.672 0.000 0.000
0.000 3.866 0.000
0.000 0.000 4.389
Be Cu Te
2 1 1
Direct
0.000 0.000 0.246
0.000 0.000 0.754
0.000 0.500 0.500
0.500 0.500 0.000
```

D(E_F), states/eV/cell: 0.76
Formation energy (no corrections), eV per atom: 0.3821

Below is an optimized crystal structure of MgFeSe2, with properties calculated at the PBE level.

Structure (POSCAR):
```
MgFeSe2
1.0
-2.840 2.840 5.592
2.840 -2.840 5.592
2.840 2.840 -5.592
Mg Fe Se
2 2 4
Direct
0.000 0.000 0.000
0.750 0.250 0.500
0.250 0.750 0.500
0.500 0.500 0.000
0.170 0.625 0.045
0.375 0.420 0.545
0.580 0.125 0.955
0.875 0.830 0.455
```

D(E_F), states/eV/cell: 10.68
Formation energy (no corrections), eV per atom: -0.3614

- Look up the D(E_F) of the second one.
  10.68 states/eV/cell